The following is a PBE calculation of crystalline TmMnSi2Mo at its relaxed geometry, from Alexandria via LeMat-Bulk.

Cell lengths 3.9196, 3.9196, 6.0956 Å; angles 108.75, 108.75, 90.00 degrees
With the nearest neighbours (Å) after each atom.
Element x y z (fractional)
Si1 0.3900 0.3900 0.7800  1 Si 2.39, 2 Mn 2.48, 2 Mo 2.48
Si2 0.6100 0.6100 0.2200  1 Si 2.39, 2 Mo 2.48, 2 Mn 2.48
Mo1 0.2500 0.7500 0.5000  4 Si 2.48, 4 Mn 2.77
Mn1 0.7500 0.2500 0.5000  4 Si 2.48, 4 Mo 2.77
Tm1 0.0000 0.0000 0.0000  8 Si 3.02, 4 Mn 3.35, 4 Mo 3.35

raw formation energy	-0.527	eV per atom
space-group type	I-4m2 (119)
final energy	-7.591	eV/atom


The following is a PBE calculation of crystalline YMn2SiMo at its relaxed geometry, from Alexandria via LeMat-Bulk.

Cell lengths 4.3502, 4.9536, 4.3502 Å; angles 90.00, 90.00, 90.00 degrees
With the nearest neighbours (Å) after each atom.
Element x y z (fractional)
Si1 0.0000 0.5000 0.0000  2 Y 2.48
Mo1 0.5000 0.5000 0.5000  4 Si 3.08, 8 Mn 3.30
Mn1 0.5000 0.0000 0.0000  2 Y 2.18
Mn2 0.0000 0.0000 0.5000  2 Y 2.18
Y1 0.0000 0.0000 0.0000  4 Mn 2.18

raw formation energy	2.346	eV per atom
space-group type	P4/mmm (123)
final energy	-5.866	eV/atom


The following is a PBE calculation of crystalline Mn4SnMo at its relaxed geometry, from Alexandria via LeMat-Bulk.

Cell lengths 4.8335, 4.8335, 4.8335 Å; angles 60.00, 60.00, 60.00 degrees
With the nearest neighbours (Å) after each atom.
Element x y z (fractional)
Sn1 0.2500 0.2500 0.2500  12 Mn 2.83, 4 Mo 2.96
Mo1 0.0000 0.0000 0.0000  12 Mn 2.83, 4 Sn 2.96
Mn1 0.6250 0.1249 0.6250  6 Mn 2.42
Mn2 0.1249 0.6250 0.6250  6 Mn 2.42
Mn3 0.6250 0.6250 0.6250  6 Mn 2.42
Mn4 0.6250 0.6250 0.1249  6 Mn 2.42

E_form	0.579	eV per formula unit
space-group type	F-43m (216)
final energy	-8.489	eV/atom


The following is a PBE calculation of crystalline MnSn3Mo at its relaxed geometry, from Alexandria via LeMat-Bulk.

Cell lengths 5.2832, 5.2832, 5.2832 Å; angles 90.00, 90.00, 90.00 degrees
With the nearest neighbours (Å) after each atom.
Element x y z (fractional)
Sn1 0.5000 0.0000 0.0000  2 Mo 2.64
Mo1 0.0000 0.0000 0.0000  6 Sn 2.64
Mn1 0.5000 0.5000 0.5000  12 Sn 3.74
Sn2 0.0000 0.5000 0.0000  2 Mo 2.64
Sn3 0.0000 0.0000 0.5000  2 Mo 2.64

E_form	3.472	eV per formula unit
space-group type	Pm-3m (221)
final energy	-5.707	eV/atom


The following is a PBE calculation of crystalline MnSnMo3 at its relaxed geometry, from Alexandria via LeMat-Bulk.

Cell lengths 4.5073, 4.5073, 4.5073 Å; angles 90.00, 90.00, 90.00 degrees
With the nearest neighbours (Å) after each atom.
Element x y z (fractional)
Sn1 0.5000 0.5000 0.5000  12 Mo 3.19
Mn1 0.0000 0.0000 0.0000  6 Mo 2.25
Mo1 0.5000 0.0000 0.0000  2 Mn 2.25
Mo2 0.0000 0.5000 0.0000  2 Mn 2.25
Mo3 0.0000 0.0000 0.5000  2 Mn 2.25

E_form	4.645	eV per formula unit
space-group type	Pm-3m (221)
final energy	-8.204	eV/atom


The following is a PBE calculation of crystalline MnSnMo at its relaxed geometry, from Alexandria via LeMat-Bulk.

Cell lengths 4.2300, 4.2300, 4.2300 Å; angles 60.00, 60.00, 60.00 degrees
With the nearest neighbours (Å) after each atom.
Element x y z (fractional)
Mn1 0.2500 0.2500 0.2500  4 Sn 2.59, 4 Mo 2.59
Sn1 0.5000 0.5000 0.5000  4 Mn 2.59
Mo1 0.0000 0.0000 0.0000  4 Mn 2.59

E_form	0.627	eV per formula unit
space-group type	F-43m (216)
final energy	-7.792	eV/atom


The following is a PBE calculation of crystalline MnTcSnMo at its relaxed geometry, from Alexandria via LeMat-Bulk.

Cell lengths 4.4190, 4.4190, 4.4190 Å; angles 60.00, 60.00, 60.00 degrees
With the nearest neighbours (Å) after each atom.
Element x y z (fractional)
Tc1 0.5000 0.5000 0.5000  4 Sn 2.71, 4 Mo 2.71
Mn1 0.0000 0.0000 0.0000  4 Mo 2.71, 4 Sn 2.71
Sn1 0.7500 0.7500 0.7500  4 Mn 2.71, 4 Tc 2.71
Mo1 0.2500 0.2500 0.2500  4 Mn 2.71, 4 Tc 2.71

E_form	0.615	eV per formula unit
space-group type	F-43m (216)
final energy	-8.439	eV/atom


The following is a PBE calculation of crystalline TiMnSnMo at its relaxed geometry, from Alexandria via LeMat-Bulk.

Cell lengths 4.5256, 4.5256, 4.5256 Å; angles 60.00, 60.00, 60.00 degrees
With the nearest neighbours (Å) after each atom.
Element x y z (fractional)
Ti1 0.2500 0.2500 0.2500  4 Mo 2.77, 4 Mn 2.77
Mn1 0.0000 0.0000 0.0000  4 Ti 2.77, 4 Sn 2.77
Sn1 0.7500 0.7500 0.7500  4 Mn 2.77, 4 Mo 2.77
Mo1 0.5000 0.5000 0.5000  4 Sn 2.77, 4 Ti 2.77

E_form	-0.036	eV per formula unit
space-group type	F-43m (216)
final energy	-7.984	eV/atom


The following is a PBE calculation of crystalline SrMnMo2 at its relaxed geometry, from Alexandria via LeMat-Bulk.

Cell lengths 5.7568, 5.7568, 2.7161 Å; angles 90.00, 90.00, 122.82 degrees
With the nearest neighbours (Å) after each atom.
Element x y z (fractional)
Mo1 0.0000 0.0000 0.0000  4 Mo 2.72-2.75
Mn1 0.0000 0.5000 0.5000  2 Mn 2.72, 2 Sr 2.75
Sr1 0.5000 0.0000 0.5000  2 Sr 2.72, 2 Mn 2.75
Mo2 0.5000 0.5000 0.0000  4 Mo 2.72-2.75

E_form	4.269	eV per formula unit
space-group type	Cmmm (65)
final energy	-7.061	eV/atom


The following is a PBE calculation of crystalline SrMnMo2 at its relaxed geometry, from Alexandria via LeMat-Bulk.

Cell lengths 3.2607, 3.2604, 7.7993 Å; angles 90.00, 90.00, 90.00 degrees
With the nearest neighbours (Å) after each atom.
Element x y z (fractional)
Mn1 0.5000 0.5000 0.8224  5 Mo 2.72-2.76
Sr1 0.0000 0.0000 0.4954  4 Sr 3.26, 4 Mo 3.39, 4 Mn 3.44
Mo1 0.0000 0.0000 0.0063  4 Mo 2.66, 4 Mn 2.72
Mo2 0.5000 0.5000 0.1759  4 Mo 2.66, 1 Mn 2.76

E_form	2.267	eV per formula unit
space-group type	P4mm (99)
final energy	-7.562	eV/atom


The following is a PBE calculation of crystalline SrMnMo2 at its relaxed geometry, from Alexandria via LeMat-Bulk.

Cell lengths 3.5998, 3.0180, 7.8264 Å; angles 72.92, 90.00, 90.00 degrees
With the nearest neighbours (Å) after each atom.
Element x y z (fractional)
Mo1 0.0000 0.4846 0.5969  1 Mo 2.40, 2 Mn 2.43
Sr1 0.5000 0.2500 0.2500  2 Sr 3.02
Mn1 0.5000 0.7500 0.7500  4 Mo 2.43
Mo2 0.0000 0.0154 0.9031  1 Mo 2.40, 2 Mn 2.43

E_form	2.740	eV per formula unit
space-group type	P2/m (10)
final energy	-7.443	eV/atom


The following is a PBE calculation of crystalline SrMnMo2 at its relaxed geometry, from Alexandria via LeMat-Bulk.

Cell lengths 2.9767, 2.9767, 8.4699 Å; angles 90.00, 90.00, 90.00 degrees
With the nearest neighbours (Å) after each atom.
Element x y z (fractional)
Mo1 0.0000 0.0000 0.9241  4 Mn 2.57
Mn1 0.5000 0.5000 0.7500  8 Mo 2.57
Sr1 0.5000 0.5000 0.2500  4 Sr 2.98
Mo2 0.0000 0.0000 0.5759  4 Mn 2.57

E_form	3.037	eV per formula unit
space-group type	P4/mmm (123)
final energy	-7.369	eV/atom


The following is a PBE calculation of crystalline SrMnMo2 at its relaxed geometry, from Alexandria via LeMat-Bulk.

Cell lengths 3.2153, 4.5700, 5.1383 Å; angles 90.00, 90.00, 90.00 degrees
With the nearest neighbours (Å) after each atom.
Element x y z (fractional)
Sr1 0.5000 0.0000 0.5000  4 Mn 2.79, 4 Mo 3.03
Mn1 0.0000 0.5000 0.5000  4 Sr 2.79, 4 Mo 3.03
Mo1 0.0000 0.0000 0.0000  4 Mo 2.79, 4 Sr 3.03
Mo2 0.5000 0.5000 0.0000  4 Mo 2.79, 4 Mn 3.03

E_form	4.266	eV per formula unit
space-group type	Pmmm (47)
final energy	-7.062	eV/atom


The following is a PBE calculation of crystalline SrMn3Mo at its relaxed geometry, from Alexandria via LeMat-Bulk.

Cell lengths 4.8420, 4.8420, 4.8420 Å; angles 90.00, 90.00, 90.00 degrees
With the nearest neighbours (Å) after each atom.
Element x y z (fractional)
Mn1 0.0000 0.0000 0.5000  2 Mo 2.42
Mn2 0.0000 0.5000 0.0000  2 Mo 2.42
Mo1 0.0000 0.0000 0.0000  6 Mn 2.42
Sr1 0.5000 0.5000 0.5000  12 Mn 3.42
Mn3 0.5000 0.0000 0.0000  2 Mo 2.42

E_form	4.171	eV per formula unit
space-group type	Pm-3m (221)
final energy	-7.170	eV/atom


The following is a PBE calculation of crystalline SrMnMo2 at its relaxed geometry, from Alexandria via LeMat-Bulk.

Cell lengths 9.2753, 9.2753, 9.2753 Å; angles 19.26, 19.26, 19.26 degrees
With the nearest neighbours (Å) after each atom.
Element x y z (fractional)
Sr1 0.2500 0.2500 0.2500  6 Sr 3.10, 6 Mo 3.36
Mn1 0.7500 0.7500 0.7500  6 Mo 2.47
Mo1 0.0209 0.0209 0.0209  3 Mn 2.47
Mo2 0.4791 0.4791 0.4791  3 Mn 2.47

E_form	3.838	eV per formula unit
space-group type	R-3m (166)
final energy	-7.169	eV/atom


The following is a PBE calculation of crystalline SrMnMo2 at its relaxed geometry, from Alexandria via LeMat-Bulk.

Cell lengths 4.9679, 4.9679, 8.8085 Å; angles 73.62, 73.62, 90.00 degrees
With the nearest neighbours (Å) after each atom.
Element x y z (fractional)
Sr1 0.0000 0.0000 0.0000  8 Mo 3.43-3.44, 4 Mn 3.51
Sr2 0.7500 0.2500 0.5000  8 Mo 3.43-3.44, 4 Mn 3.51
Mn1 0.5000 0.5000 0.0000  4 Mo 2.37
Mo1 0.3750 0.6254 0.7500  2 Mn 2.37, 2 Mo 2.48
Mo2 0.3754 0.6250 0.2500  2 Mn 2.37, 2 Mo 2.48
Mo3 0.3746 0.1250 0.2500  2 Mn 2.37, 2 Mo 2.48
Mn2 0.2500 0.7500 0.5000  4 Mo 2.37
Mo4 0.8750 0.6246 0.7500  2 Mn 2.37, 2 Mo 2.48

E_form	4.955	eV per formula unit
space-group type	I4_1/amd (141)
final energy	-6.890	eV/atom


The following is a PBE calculation of crystalline SrMnMo2 at its relaxed geometry, from Alexandria via LeMat-Bulk.

Cell lengths 4.9297, 4.9297, 6.0685 Å; angles 75.49, 75.49, 38.32 degrees
With the nearest neighbours (Å) after each atom.
Element x y z (fractional)
Sr1 0.4930 0.4930 0.5093  2 Sr 3.24, 3 Mn 3.34-3.40, 7 Mo 3.38-3.50
Mo1 0.2889 0.2889 0.1253  2 Mn 2.45, 2 Mo 2.53
Mn1 0.7153 0.7153 0.8722  4 Mo 2.45-2.51
Mo2 0.0028 0.0028 0.9933  2 Mn 2.51, 2 Mo 2.53

E_form	2.943	eV per formula unit
space-group type	Cm (8)
final energy	-7.393	eV/atom


The following is a PBE calculation of crystalline SrMnMo2 at its relaxed geometry, from Alexandria via LeMat-Bulk.

Cell lengths 4.6468, 4.6468, 4.6468 Å; angles 60.00, 60.00, 60.00 degrees
With the nearest neighbours (Å) after each atom.
Element x y z (fractional)
Mn1 0.0000 0.0000 0.0000  8 Mo 2.85
Mo1 0.7500 0.7500 0.7500  4 Mn 2.85, 4 Sr 2.85
Sr1 0.5000 0.5000 0.5000  8 Mo 2.85
Mo2 0.2500 0.2500 0.2500  4 Mn 2.85, 4 Sr 2.85

E_form	4.744	eV per formula unit
space-group type	Fm-3m (225)
final energy	-6.942	eV/atom


The following is a PBE calculation of crystalline SrMnMo2 at its relaxed geometry, from Alexandria via LeMat-Bulk.

Cell lengths 5.9771, 5.9771, 5.9771 Å; angles 152.82, 129.01, 58.73 degrees
With the nearest neighbours (Å) after each atom.
Element x y z (fractional)
Sr1 0.7500 0.2500 0.5000  2 Sr 2.81, 4 Mn 2.93
Mo1 0.4539 0.4539 0.0000  2 Mn 2.55, 2 Mo 2.81
Mo2 0.0461 0.0461 0.0000  2 Mn 2.55, 2 Mo 2.81
Mn1 0.2500 0.7500 0.5000  4 Mo 2.55, 2 Mn 2.81

E_form	3.503	eV per formula unit
space-group type	Immm (71)
final energy	-7.253	eV/atom


The following is a PBE calculation of crystalline SrMnMo2 at its relaxed geometry, from Alexandria via LeMat-Bulk.

Cell lengths 5.0205, 3.9340, 3.9340 Å; angles 90.00, 90.00, 90.00 degrees
With the nearest neighbours (Å) after each atom.
Element x y z (fractional)
Mn1 0.5000 0.0000 0.5000  4 Sr 2.78
Mo1 0.0000 0.0000 0.0000  4 Mo 2.78
Sr1 0.5000 0.5000 0.0000  4 Mn 2.78
Mo2 0.0000 0.5000 0.5000  4 Mo 2.78

E_form	4.438	eV per formula unit
space-group type	P4/mmm (123)
final energy	-7.019	eV/atom


Spin magnetization readings, ordered: 0.489 0.000 0.801 1.001 0.000 0.333 0.038 0.721 0.810 0.911 0.000 0.171 0.728 1.916 0.077 0.000 0.429 0.092 0.371 0.921 μB/atom